{"formula": "AcScTeO5", "functional": "GGA-PBE", "state": "relaxed", "lattice_angstrom": [[6.003, 0.430, -0.288], [-1.341, 5.868, -0.288], [-2.277, -3.076, 7.545]], "species": ["Ac", "Ac", "Sc", "Sc", "Te", "Te", "O", "O", "O", "O", "O", "O", "O", "O", "O", "O"], "fractional_positions": [[0.309, 0.691, 0.250], [0.691, 0.309, 0.750], [0.000, 0.000, 0.500], [0.000, 0.000, 0.000], [0.720, 0.280, 0.250], [0.280, 0.720, 0.750], [0.041, 0.959, 0.250], [0.959, 0.041, 0.750], [0.887, 0.330, 0.069], [0.113, 0.670, 0.931], [0.670, 0.113, 0.431], [0.330, 0.887, 0.569], [0.766, 0.623, 0.389], [0.234, 0.377, 0.611], [0.377, 0.234, 0.111], [0.623, 0.766, 0.889]], "dft_energy_ev_per_cell": -116.640, "formation_energy_uncorrected_kj_per_mol_atoms": -240.6, "dos_at_fermi_per_ev_fu": 0.00, "sg": "No. 15"}

---

{"formula": "Pr2Nd3ErS6", "functional": "GGA-PBE", "state": "relaxed", "lattice_angstrom": [[-4.530, -4.982, -1.989], [6.336, -1.774, 2.452], [-3.041, 2.025, 5.976]], "species": ["Pr", "Pr", "Nd", "Nd", "Nd", "Er", "S", "S", "S", "S", "S", "S"], "fractional_positions": [[0.333, 0.667, 0.000], [0.667, 0.333, 0.000], [0.172, 0.828, 0.500], [0.828, 0.172, 0.500], [0.500, 0.500, 0.500], [0.000, 0.000, 0.000], [0.919, 0.599, 0.756], [0.763, 0.763, 0.248], [0.081, 0.401, 0.244], [0.599, 0.919, 0.756], [0.237, 0.237, 0.752], [0.401, 0.081, 0.244]], "dft_energy_ev_per_cell": -77.334, "formation_energy_uncorrected_kj_per_mol_atoms": -194.1, "dos_at_fermi_per_ev_fu": 5.01, "sg": "No. 12"}

---

{"formula": "MgHPdPt2", "functional": "GGA-PBE", "state": "relaxed", "lattice_angstrom": [[3.995, 0.000, 0.000], [0.000, 3.995, 0.000], [0.000, 0.000, 4.098]], "species": ["H", "Mg", "Pd", "Pt", "Pt"], "fractional_positions": [[0.000, 0.000, 0.000], [0.500, 0.500, 0.500], [0.000, 0.000, 0.500], [0.000, 0.500, 0.000], [0.500, 0.000, 0.000]], "dft_energy_ev_per_cell": -24.443, "polymorph_energy_mev_per_atom": 0, "dos_at_fermi_per_ev_fu": 4.86, "sg": "No. 123"}

---

{"formula": "CeHf2Se6", "functional": "GGA-PBE", "state": "relaxed", "lattice_angstrom": [[-0.690, 4.226, 2.704], [-6.423, -0.179, 3.381], [1.575, -1.589, 7.627]], "species": ["Ce", "Hf", "Hf", "Se", "Se", "Se", "Se", "Se", "Se"], "fractional_positions": [[0.000, 0.500, 0.500], [0.178, 0.752, 0.892], [0.822, 0.248, 0.108], [0.740, 0.633, 0.887], [0.260, 0.367, 0.113], [0.962, 0.862, 0.213], [0.364, 0.717, 0.555], [0.038, 0.138, 0.787], [0.636, 0.283, 0.445]], "dft_energy_ev_per_cell": -58.373, "formation_energy_uncorrected_kj_per_mol_atoms": -124.6, "dos_at_fermi_per_ev_fu": 0.14, "sg": "No. 12"}

---

{"formula": "Te2RuSe", "functional": "GGA-PBE", "state": "relaxed", "lattice_angstrom": [[3.415, 0.000, 0.000], [0.000, 5.118, 0.000], [0.000, 0.000, 4.837]], "species": ["Ru", "Se", "Te", "Te"], "fractional_positions": [[0.500, 0.000, 0.500], [0.000, 0.500, 0.500], [0.000, 0.000, 0.000], [0.500, 0.500, 0.000]], "dft_energy_ev_per_cell": -16.454, "formation_energy_uncorrected_kj_per_mol_atoms": 62.5, "dos_at_fermi_per_ev_fu": 3.25, "sg": "No. 47"}

---

{"formula": "BeTeH", "functional": "GGA-PBE", "state": "relaxed", "lattice_angstrom": [[-3.132, 2.027, 1.294], [-3.231, -4.097, -1.184], [-0.235, -1.736, 6.242]], "species": ["Be", "Be", "Te", "Te", "H", "H"], "fractional_positions": [[0.931, 0.183, 0.240], [0.367, 0.711, 0.422], [0.840, 0.475, 0.514], [0.476, 0.984, 0.114], [0.263, 0.963, 0.583], [0.344, 0.870, 0.654]], "dft_energy_ev_per_cell": -21.007, "polymorph_energy_mev_per_atom": 109, "dos_at_fermi_per_ev_fu": 0.00, "sg": "No. 1"}